Entry 1:
TaInBr4 | Alexandria via LeMat-Bulk | PBE-GGA | relaxed; E above lowest polymorph = 0.000 eV/atom; total magnetic moment = 0.99 μB/f.u.; E_tot = -4.07 eV per atom; ρ = 4.75 g cm⁻³; volume = 35.8 A^3/atom; space group = C2/c (15); crystal system = monoclinic; DOS(E_F) = 0.284 states/eV/atom; formation energy (no corrections) = -12.0 kcal/mol of atoms
1.0
-1.125 -5.841 6.492
5.011 -1.885 -4.782
3.232 7.361 3.190
Ta In Br
2 2 8
direct
0.000 0.750 0.000
0.000 0.250 0.000
0.501 0.251 0.001
0.499 0.749 0.999
0.341 0.480 0.240
0.658 0.020 0.760
0.102 0.740 0.760
0.898 0.760 0.240
0.659 0.520 0.760
0.898 0.260 0.240
0.342 0.980 0.240
0.102 0.240 0.760



Entry 2:
TaInBr4 | Alexandria via LeMat-Bulk | PBE-GGA | relaxed; E above lowest polymorph = 1.562 eV/atom; total magnetic moment = 3.44 μB/f.u.; E_tot = -2.51 eV per atom; ρ = 5.88 g cm⁻³; volume = 28.9 A^3/atom; space group = F-43m (216); crystal system = cubic; DOS(E_F) = 1.596 states/eV/atom; formation energy (no corrections) = 24.0 kcal/mol of atoms
1.0
-1.832 -4.939 -3.387
-4.894 -3.434 1.865
-5.379 0.218 -3.199
Ta In Br
1 1 4
direct
0.000 0.000 0.000
0.750 0.750 0.750
0.878 0.374 0.374
0.374 0.374 0.878
0.374 0.878 0.374
0.374 0.374 0.374



Entry 3:
TaInBr3 | Alexandria via LeMat-Bulk | PBE-GGA | relaxed; total magnetic moment = 3.00 μB/f.u.; E_tot = -4.04 eV per atom; ρ = 5.71 g cm⁻³; volume = 31.2 A^3/atom; space group = Pm-3m (221); crystal system = cubic; DOS(E_F) = 0.614 states/eV/atom; formation energy (no corrections) = -2.7 kcal/mol of atoms
1.0
5.381 0.000 0.000
0.000 5.381 0.000
0.000 0.000 5.381
In Br Ta
1 3 1
direct
0.500 0.500 0.500
0.000 0.500 0.000
0.000 0.000 0.500
0.500 0.000 0.000
0.000 0.000 0.000



Entry 4:
Ta4InBr7 | Alexandria via LeMat-Bulk | PBE-GGA | relaxed; total magnetic moment = 0.00 μB/f.u.; E_tot = -5.43 eV per atom; ρ = 5.99 g cm⁻³; volume = 32.3 A^3/atom; space group = Pmn2_1 (31); crystal system = orthorhombic; DOS(E_F) = 0.184 states/eV/atom; formation energy (no corrections) = -6.4 kcal/mol of atoms
1.0
4.901 0.000 0.000
0.000 11.256 0.000
0.000 0.000 14.055
Ta In Br
8 2 14
direct
0.513 0.842 0.824
0.013 0.001 0.189
0.513 0.999 0.311
0.013 0.158 0.676
0.013 0.158 0.324
0.513 0.842 0.176
0.013 0.001 0.811
0.513 0.999 0.689
0.514 0.497 0.500
0.014 0.503 0.000
0.013 0.766 0.186
0.513 0.234 0.314
0.513 0.594 0.867
0.013 0.406 0.633
0.013 0.406 0.367
0.513 0.594 0.133
0.513 0.784 0.633
0.013 0.216 0.867
0.013 0.216 0.133
0.513 0.784 0.367
0.513 0.932 0.000
0.013 0.068 0.500
0.013 0.766 0.814
0.513 0.234 0.686



Entry 5:
TaIn3Br | Alexandria via LeMat-Bulk | PBE-GGA | relaxed; E above lowest polymorph = 0.733 eV/atom; total magnetic moment = 2.82 μB/f.u.; E_tot = -3.04 eV per atom; ρ = 5.83 g cm⁻³; volume = 34.5 A^3/atom; space group = Pm-3m (221); crystal system = cubic; DOS(E_F) = 1.048 states/eV/atom; formation energy (no corrections) = 30.1 kcal/mol of atoms
1.0
5.564 0.000 0.000
0.000 5.564 0.000
0.000 0.000 5.564
In Br Ta
3 1 1
direct
0.000 0.500 0.000
0.000 0.000 0.500
0.500 0.000 0.000
0.000 0.000 0.000
0.500 0.500 0.500



Entry 6:
TaIn2Br7 | Alexandria via LeMat-Bulk | PBE-GGA | relaxed; total magnetic moment = 0.00 μB/f.u.; E_tot = -3.62 eV per atom; ρ = 4.55 g cm⁻³; volume = 35.4 A^3/atom; space group = C2/c (15); crystal system = monoclinic; formation energy (no corrections) = -16.4 kcal/mol of atoms
1.0
7.549 0.000 3.681
3.356 10.824 2.700
0.409 -1.143 8.742
Ta In Br
2 4 14
direct
0.906 0.250 0.750
0.094 0.750 0.250
0.682 0.928 0.720
0.669 0.428 0.220
0.331 0.572 0.780
0.318 0.072 0.280
0.759 0.481 0.814
0.946 0.981 0.314
0.328 0.796 0.923
0.273 0.242 0.546
0.595 0.250 0.750
0.952 0.296 0.423
0.061 0.258 0.954
0.939 0.742 0.046
0.048 0.704 0.577
0.405 0.750 0.250
0.727 0.758 0.454
0.672 0.204 0.077
0.054 0.019 0.686
0.241 0.519 0.186



Entry 7:
Ta3InBr | Alexandria via LeMat-Bulk | PBE-GGA | relaxed; E above lowest polymorph = 0.000 eV/atom; total magnetic moment = 0.00 μB/f.u.; E_tot = -6.64 eV per atom; ρ = 11.45 g cm⁻³; volume = 21.4 A^3/atom; space group = Pm-3m (221); crystal system = cubic; DOS(E_F) = 1.418 states/eV/atom; formation energy (no corrections) = 31.3 kcal/mol of atoms
1.0
4.747 0.000 0.000
0.000 4.747 0.000
0.000 0.000 4.747
In Br Ta
1 1 3
direct
0.500 0.500 0.500
0.000 0.000 0.000
0.000 0.500 0.000
0.000 0.000 0.500
0.500 0.000 0.000



Entry 8:
Zr2TaInBr | Alexandria via LeMat-Bulk | PBE-GGA | relaxed; total magnetic moment = 0.00 μB/f.u.; E_tot = -5.73 eV per atom; ρ = 7.39 g cm⁻³; volume = 25.1 A^3/atom; space group = P4/mmm (123); crystal system = tetragonal; DOS(E_F) = 1.078 states/eV/atom; formation energy (no corrections) = 21.7 kcal/mol of atoms
1.0
-0.643 4.314 -2.202
-4.295 -1.858 -2.387
-2.739 1.508 3.755
In Br Zr Ta
1 1 2 1
direct
0.000 0.500 0.000
0.000 0.000 0.000
0.000 0.000 0.500
0.500 0.000 0.000
0.500 0.500 0.500



Entry 9:
Tb2InBr | Alexandria via LeMat-Bulk | PBE-GGA | relaxed; E above lowest polymorph = 0.112 eV/atom; total magnetic moment = 0.00 μB/f.u.; E_tot = -3.97 eV per atom; ρ = 5.20 g cm⁻³; volume = 40.9 A^3/atom; space group = R-3m (166); crystal system = trigonal; DOS(E_F) = 0.394 states/eV/atom; formation energy (no corrections) = -12.7 kcal/mol of atoms
1.0
4.744 0.000 0.000
2.372 4.109 0.000
2.372 1.370 8.392
Tb Br In
2 1 1
direct
0.112 0.112 0.665
0.888 0.888 0.335
0.000 0.000 0.000
0.500 0.500 0.500



Entry 10:
Tb2InBr | Alexandria via LeMat-Bulk | PBE-GGA | relaxed; E above lowest polymorph = 0.000 eV/atom; total magnetic moment = 0.01 μB/f.u.; E_tot = -4.08 eV per atom; ρ = 8.13 g cm⁻³; volume = 26.2 A^3/atom; space group = P4/mmm (123); crystal system = tetragonal; DOS(E_F) = 1.083 states/eV/atom; formation energy (no corrections) = -15.2 kcal/mol of atoms
1.0
3.521 0.000 0.000
0.000 3.521 0.000
0.000 0.000 8.443
Tb Br In
2 1 1
direct
0.000 0.000 0.758
0.000 0.000 0.242
0.500 0.500 0.500
0.500 0.500 0.000



Entry 11:
TbIn2Br8 | Alexandria via LeMat-Bulk | PBE-GGA | relaxed; total magnetic moment = 0.00 μB/f.u.; E_tot = -3.20 eV per atom; ρ = 3.65 g cm⁻³; volume = 42.5 A^3/atom; space group = C2/m (12); crystal system = monoclinic; DOS(E_F) = 0.430 states/eV/atom; formation energy (no corrections) = -24.6 kcal/mol of atoms
1.0
-1.389 6.963 0.237
-2.461 0.801 -8.151
-8.432 -0.624 -1.283
Tb In Br
1 2 8
direct
0.000 0.000 0.000
0.636 0.815 0.815
0.364 0.185 0.185
0.222 0.289 0.873
0.778 0.127 0.711
0.252 0.828 0.828
0.748 0.172 0.172
0.222 0.873 0.289
0.778 0.711 0.127
0.762 0.642 0.642
0.238 0.358 0.358



Entry 12:
TbInBr2 | Alexandria via LeMat-Bulk | PBE-GGA | relaxed; total magnetic moment = 0.00 μB/f.u.; E_tot = -3.38 eV per atom; ρ = 5.16 g cm⁻³; volume = 34.9 A^3/atom; space group = R-3m (166); crystal system = trigonal; DOS(E_F) = 0.480 states/eV/atom; formation energy (no corrections) = -16.3 kcal/mol of atoms
1.0
-3.687 1.212 -0.727
-2.248 -1.959 -2.589
-5.470 -6.304 6.511
Tb Br In
1 2 1
direct
0.000 0.000 0.000
0.088 0.088 0.735
0.912 0.912 0.265
0.500 0.500 0.500